Compound: K8TiS6
Source: Alexandria
Functional: PBE
Structure: optimized geometry

Properties
final energy = -3.896 eV per atom
Fermi-level density of states = 0.00 states/eV per atom
total magnetization = 0.2 μB per formula unit

Cell lengths 8.577, 8.982, 13.442 Å; angles 90.00, 90.00, 90.00 degrees
Space group Pmn2_1 (No. 31)
Inequivalent atoms, fractional coordinates:
1 K 0.000 0.122 0.000 (multiplicity 2)
2 K 0.000 0.170 0.434 (multiplicity 2)
3 K 0.196 0.618 0.126 (multiplicity 4)
4 K 0.218 0.909 0.749 (multiplicity 4)
5 K 0.234 0.546 0.854 (multiplicity 4)
6 Ti 0.000 0.748 0.449 (multiplicity 2)
7 S 0.000 0.318 0.215 (multiplicity 2)
8 S 0.000 0.508 0.517 (multiplicity 2)
9 S 0.000 0.769 0.945 (multiplicity 2)
10 S 0.000 0.917 0.573 (multiplicity 2)
11 S 0.213 0.786 0.350 (multiplicity 4)